{
  "formula": "AcLa4Pr2Dy",
  "functional": "PBE",
  "state": "relaxed",
  "dos_at_fermi_per_ev_atom": 1.847,
  "ef_ev_per_atom": 0.02,
  "e_tot_ev_per_atom": -4.724,
  "sg": "C2/m",
  "lattice": [[5.903, -2.643, 0.000], [5.903, 2.643, 0.000], [-4.779, 0.000, 9.492]],
  "species": ["Ac", "La", "La", "La", "La", "Pr", "Pr", "Dy"],
  "frac_coords": [[0.000, 0.000, 0.000], [0.247, 0.247, 0.869], [0.252, 0.252, 0.379], [0.748, 0.748, 0.621], [0.753, 0.753, 0.131], [0.499, 0.499, 0.256], [0.501, 0.501, 0.744], [0.000, 0.000, 0.500]]
}